## A
This record from Alexandria via LeMat-Bulk describes crystalline TmZn2Ni9 at its relaxed geometry. The functional is PBE.

POSCAR file:
```
TmZn2Ni9
1.0
-3.674 0.094 -2.953
4.909 -1.591 -6.158
-1.120 -7.874 1.142
Ni Zn Tm
18 4 2
Cartesian
-0.770 -5.608 -1.041
-0.485 -6.226 -3.358
1.978 -1.710 -6.279
-2.667 -5.560 -2.566
-0.895 -3.857 -2.773
0.618 -0.749 -4.556
0.886 -3.763 -6.928
-1.863 -7.662 -1.690
-1.760 -1.695 -1.627
2.783 -3.812 -5.404
1.526 -7.523 -3.958
0.601 -3.145 -4.611
-0.371 -7.474 -5.482
-2.397 -3.890 -0.905
-1.410 -1.849 -4.012
0.487 -1.897 -2.487
1.876 -7.677 -6.342
1.011 -5.514 -5.196
3.637 -6.271 -4.724
2.903 -1.915 -3.672
0.153 -3.194 -0.292
0.887 -7.551 -1.344
0.000 0.000 0.000
1.895 -4.733 -2.508
```

Properties
Theoretical density, g cm⁻³: 9.0


## B
This record from Alexandria via LeMat-Bulk describes crystalline TmZn2Ni9 at its relaxed geometry. The functional is PBE.

POSCAR file:
```
TmZn2Ni9
1.0
4.791 0.000 0.000
2.396 4.149 0.000
2.396 1.383 7.751
Ni Tm Zn
9 1 2
Cartesian
4.791 1.364 5.757
3.577 3.467 5.757
4.791 2.766 3.875
4.791 2.766 7.732
4.791 4.168 1.993
6.005 2.065 1.993
3.577 2.065 1.993
6.005 3.467 5.757
4.791 2.766 0.019
0.000 0.000 0.000
7.187 4.149 3.357
2.396 1.383 4.394
```

Properties
Theoretical density, g cm⁻³: 8.9


Stability verdict: A, ahead by 4.2 kJ/mol of atoms


## A
This record from Alexandria via LeMat-Bulk describes crystalline TmZn2Ni2 at its relaxed geometry. The functional is PBE.

POSCAR file:
```
TmZn2Ni2
1.0
3.782 0.000 -0.815
-0.175 3.778 -0.815
0.374 0.392 10.924
Tm Zn Ni
2 4 4
Cartesian
1.627 1.704 7.555
2.354 2.465 1.740
-0.088 1.889 -0.407
3.185 3.336 5.600
1.891 0.000 -0.407
0.796 0.833 3.695
3.673 3.847 7.867
0.308 0.322 1.428
2.980 1.140 4.647
1.001 3.029 4.647
```

Properties
Theoretical density, g cm⁻³: 8.7


## B
This record from Alexandria via LeMat-Bulk describes crystalline TmZn2Ni2 at its relaxed geometry. The functional is PBE.

POSCAR file:
```
TmZn2Ni2
1.0
-3.230 -1.127 3.677
-0.768 -1.109 -4.838
5.601 -5.882 1.608
Ni Zn Tm
4 4 2
Cartesian
3.322 -4.970 0.499
1.699 -6.085 -1.382
-0.096 -2.033 1.828
-1.719 -3.148 -0.053
2.010 -3.258 1.728
-2.173 -1.430 -1.785
3.776 -6.688 2.232
-0.408 -4.860 -1.282
0.895 -6.091 1.398
0.708 -2.027 -0.951
```

Properties
Theoretical density, g cm⁻³: 8.3


Stability verdict: A, ahead by 7.6 kJ/mol of atoms


## A
This record from Alexandria via LeMat-Bulk describes crystalline Tm8ZnNi2 at its relaxed geometry. The functional is PBE.

POSCAR file:
```
Tm8ZnNi2
1.0
-3.856 1.027 -3.529
5.971 2.276 -4.267
-0.890 -7.624 0.348
Tm Ni Zn
8 2 1
Cartesian
-0.321 0.777 -3.475
0.483 0.912 -6.698
-2.097 -1.785 -2.281
1.207 -1.851 -2.176
1.582 -5.132 -3.991
0.053 -2.504 -5.293
-3.084 -4.235 -4.299
3.358 -2.569 -5.186
-0.701 -4.098 -2.844
1.959 -0.260 -4.633
0.001 -0.012 -0.024
```

Properties
Theoretical density, g cm⁻³: 9.2


## B
This record from Alexandria via LeMat-Bulk describes crystalline Tm8ZnNi2 at its relaxed geometry. The functional is PBE.

POSCAR file:
```
Tm8ZnNi2
1.0
4.943 0.000 0.000
0.000 6.635 0.130
-2.471 -2.693 8.137
Ni Tm Zn
2 8 1
Cartesian
0.000 3.770 3.066
2.471 0.172 5.201
2.471 2.831 4.979
2.471 5.583 2.987
0.000 1.111 3.288
0.000 1.333 6.665
2.471 2.609 1.602
0.000 4.987 0.694
0.000 -1.641 5.280
2.471 -1.046 7.573
2.471 0.000 0.000
```

Properties
Theoretical density, g cm⁻³: 9.5


Stability verdict: B, ahead by 10.2 kJ/mol of atoms


## A
This record from Alexandria via LeMat-Bulk describes crystalline Tm2ZrNi at its relaxed geometry. The functional is PBE.

POSCAR file:
```
Tm2ZrNi
1.0
3.303 0.000 0.000
1.652 2.861 0.000
1.652 0.954 10.151
Zr Tm Ni
1 2 1
Cartesian
0.000 0.000 0.000
1.652 0.954 6.966
4.955 2.861 3.185
3.303 1.907 5.075
```

Properties
Theoretical density, g cm⁻³: 8.4


## B
This record from Alexandria via LeMat-Bulk describes crystalline Tm2ZrNi at its relaxed geometry. The functional is PBE.

POSCAR file:
```
Tm2ZrNi
1.0
3.360 0.000 0.000
0.000 3.360 0.000
0.000 0.000 7.899
Tm Ni Zr
2 1 1
Cartesian
0.000 0.000 6.273
0.000 0.000 1.627
1.680 1.680 0.000
1.680 1.680 3.950
```

Properties
Theoretical density, g cm⁻³: 9.1


Stability verdict: B, ahead by 35.2 kJ/mol of atoms


## A
This record from Alexandria via LeMat-Bulk describes crystalline TmZrNi2 at its relaxed geometry. The functional is PBE.

POSCAR file:
```
TmZrNi2
1.0
-0.487 -3.105 0.926
3.224 -0.559 -0.178
0.657 1.780 6.315
Ni Tm Zr
2 1 1
Cartesian
0.144 0.389 1.382
0.514 1.390 4.933
1.697 -0.942 3.532
1.368 -1.832 0.374
```

Properties
Theoretical density, g cm⁻³: 8.9


## B
This record from Alexandria via LeMat-Bulk describes crystalline TmZrNi2 at its relaxed geometry. The functional is PBE.

POSCAR file:
```
TmZrNi2
1.0
3.453 0.000 -0.016
0.000 4.241 0.000
-1.687 0.000 4.898
Ni Zr Tm
2 1 1
Cartesian
-0.898 2.120 4.190
-0.906 0.000 2.654
0.813 2.120 2.105
0.834 0.000 4.832
```

Properties
Theoretical density, g cm⁻³: 8.8


Stability verdict: B, ahead by 4.2 kJ/mol of atoms


## A
This record from Alexandria via LeMat-Bulk describes crystalline U2Ni13 at its relaxed geometry. The functional is PBE.

POSCAR file:
```
U2Ni13
1.0
-6.153 0.231 -1.508
-4.395 -1.080 4.439
-3.613 5.188 2.211
Ni U
13 2
Cartesian
-6.552 3.282 0.587
-9.160 0.257 2.765
-9.249 2.619 3.312
-7.080 2.169 2.571
-5.473 2.477 4.237
-8.695 4.220 1.472
-5.466 0.119 3.670
-4.911 1.719 1.831
-6.522 0.906 0.100
-8.688 1.861 0.905
-7.609 1.057 4.556
-7.639 3.433 5.043
-5.001 4.081 2.378
-3.518 -0.167 1.003
-10.643 4.505 4.139
```

Properties
Theoretical density, g cm⁻³: 10.5


## B
This record from Alexandria via LeMat-Bulk describes crystalline U2Ni13 at its relaxed geometry. The functional is PBE.

POSCAR file:
```
U2Ni13
1.0
-5.749 2.736 -1.544
-5.268 -3.772 -0.967
-5.059 0.076 5.073
Ni U
13 2
Cartesian
-10.188 -0.735 0.185
-9.166 -2.571 1.774
-9.857 -0.473 2.871
-6.220 -0.486 -0.310
-7.889 0.936 3.232
-8.038 -0.480 1.280
-7.709 -1.495 3.448
-6.911 1.611 0.787
-8.188 -1.896 -0.671
-5.888 -0.224 2.376
-9.465 1.478 1.415
-8.367 0.536 -0.887
-6.612 -2.438 1.146
-12.051 -0.722 1.892
-4.026 -0.238 0.669
```

Properties
Theoretical density, g cm⁻³: 9.1


Stability verdict: A, ahead by 22.0 kJ/mol of atoms